Entry 1:
Material: RbLiAgO2
Method: DFT, PBE-GGA
State: relaxed

abc: 3.095 5.227 5.719
angles: 90.00 90.00 90.00
Atoms (fractional coordinates):
Rb: 0.000 0.000 0.000
Li: 0.000 0.500 0.000
Ag: 0.000 0.500 0.500
O: 0.500 0.500 0.223
O: 0.500 0.500 0.777

- crystal system = orthorhombic
- energy above the most stable polymorph in this dataset (meV/atom) = 174
- SG = No. 47

Entry 2:
Material: LiMg2Si4Pt3
Method: DFT, PBE-GGA
State: relaxed

abc: 3.868 3.868 10.855
angles: 90.00 90.00 90.00
Atoms (fractional coordinates):
Li: 0.000 0.000 0.000
Mg: 0.000 0.500 0.768
Mg: 0.500 0.000 0.232
Si: 0.000 0.000 0.500
Si: 0.000 0.500 0.141
Si: 0.500 0.000 0.859
Si: 0.500 0.500 0.500
Pt: 0.000 0.500 0.361
Pt: 0.500 0.000 0.639
Pt: 0.500 0.500 0.000

- E (eV per atom) = -5.03
- crystal system = tetragonal
- SG = No. 115

Entry 3:
Material: BiRhSe2
Method: DFT, PBE-GGA
State: relaxed

abc: 8.402 8.402 8.402
angles: 25.79 25.79 25.79
Atoms (fractional coordinates):
Bi: 0.000 0.000 0.000
Rh: 0.426 0.426 0.426
Se: 0.139 0.139 0.139
Se: 0.590 0.590 0.590

- E (eV per atom) = -4.64
- crystal system = trigonal
- SG = No. 160

Entry 4:
Material: Zn2CdIr
Method: DFT, PBE-GGA
State: relaxed

abc: 5.280 5.280 5.280
angles: 47.42 47.42 47.42
Atoms (fractional coordinates):
Zn: 0.000 0.000 0.000
Zn: 0.231 0.231 0.231
Cd: 0.442 0.442 0.442
Ir: 0.639 0.639 0.639

- crystal system = trigonal
- energy of formation (eV per atom) = 0.03
- SG = No. 160

The records above give, respectively, Fermi-level density of states values of 0.3631 0.5377 0.7875 0.4815 states/eV per atom.